1.
PmHfBi | GGA-PBE | optimized geometry

It has space group P-6m2 (No. 187), with a = 5.2429 Å, b = 5.2429 Å, c = 3.5546 Å, α = 90.00°, β = 90.00° and γ = 120.00°. The inequivalent atoms are Pm at (0.0000, 0.0000, 0.0000), Hf at (0.6667, 0.3333, 0.5000) and Bi at (0.3333, 0.6667, 0.5000).

Its energy of formation is 0.02 eV/atom.

---

2.
Pm2HfBi | GGA-PBE | optimized geometry

It has space group P4/mmm (No. 123), with a = 4.879 Å, b = 4.879 Å, c = 4.705 Å, α = 90.00°, β = 90.00° and γ = 90.00°. The inequivalent atoms are Pm at (0.000, 0.500, 0.000), Hf at (0.000, 0.000, 0.500) and Bi at (0.500, 0.500, 0.500).

Its energy of formation is -0.17 eV/atom.

---

3.
PmHfBi | GGA-PBE | optimized geometry

It has space group P4/nmm (No. 129, origin choice 2), with a = 4.286 Å, b = 4.286 Å, c = 9.705 Å, α = 90.00°, β = 90.00° and γ = 90.00°. The inequivalent atoms are Pm at (0.250, 0.250, 0.226), Hf at (0.250, 0.250, 0.564) and Bi at (0.250, 0.250, 0.877).

Its energy of formation is -0.12 eV/atom.

---

4.
PrHfBi2 | GGA-PBE | optimized geometry

It has space group R-3m (No. 166, hexagonal axes), with a = 3.4589 Å, b = 3.4589 Å, c = 34.6117 Å, α = 90.00°, β = 90.00° and γ = 120.00°. The inequivalent atoms are Pr at (0.0000, 0.0000, 0.0000), Hf at (0.0000, 0.0000, 0.5000) and Bi at (0.0000, 0.0000, 0.0968).

Its energy of formation is -0.01 eV/atom.

---

5.
PrHfBi2 | GGA-PBE | optimized geometry

It has space group P4/mmm (No. 123), with a = 3.695 Å, b = 3.695 Å, c = 8.128 Å, α = 90.00°, β = 90.00° and γ = 90.00°. The inequivalent atoms are Pr at (0.000, 0.000, 0.000), Hf at (0.000, 0.000, 0.500) and Bi at (0.500, 0.500, 0.280).

Its energy of formation is -0.31 eV/atom.

---

6.
HfBiPt | GGA-PBE | optimized geometry

It has space group Amm2 (No. 38), with a = 13.881 Å, b = 3.468 Å, c = 5.992 Å, α = 90.00°, β = 90.00° and γ = 90.00°. The inequivalent atoms are Hf at (0.131, 0.000, 0.000), Bi at (0.309, 0.000, 0.666), Pt at (0.000, 0.000, 0.334) and Pt at (0.500, 0.000, 0.667).

Its energy of formation is -0.14 eV/atom.

---

7.
Hf4BiPt | GGA-PBE | optimized geometry

It has space group C2/c (No. 15), with a = 7.915 Å, b = 12.583 Å, c = 5.562 Å, α = 90.00°, β = 109.51° and γ = 90.00°. The inequivalent atoms are Hf at (0.093, 0.193, 0.053), Hf at (0.217, 0.397, 0.366), Bi at (0.000, 0.398, 0.750) and Pt at (0.000, 0.004, 0.750).

Its energy of formation is -0.40 eV/atom.

---

8.
HfBi2Pt2 | GGA-PBE | optimized geometry

It has space group P4/mbm (No. 127), with a = 7.191 Å, b = 7.191 Å, c = 4.344 Å, α = 90.00°, β = 90.00° and γ = 90.00°. The inequivalent atoms are Hf at (0.000, 0.000, 0.000), Bi at (0.178, 0.322, 0.500) and Pt at (0.134, 0.634, 0.000).

Its energy of formation is -0.30 eV/atom.